a.
AcCe2Ga2: relaxed, PBE-GGA.

Lattice parameters (Å, degrees): 13.5743 13.5743 13.5743 160.95 160.91 27.10
Positions (direct):
Ac  0.4266  0.1766  0.2500
Ac  0.5734  0.8234  0.7500
Ce  0.1999  0.9499  0.2500
Ce  0.2959  0.5459  0.7500
Ce  0.7041  0.4541  0.2500
Ce  0.8001  0.0501  0.7500
Ga  0.0242  0.2742  0.7500
Ga  0.1211  0.3711  0.7500
Ga  0.8789  0.6289  0.2500
Ga  0.9758  0.7258  0.2500

b.
AcCe2Ga2: relaxed, PBE-GGA.

Lattice parameters (Å, degrees): 5.2974 4.3488 12.6756 90.00 96.14 90.00
Positions (direct):
Ac  0.1936  0.2500  0.2430
Ac  0.8064  0.7500  0.7570
Ce  0.1668  0.7500  0.4914
Ce  0.3367  0.2500  0.8826
Ce  0.6633  0.7500  0.1174
Ce  0.8332  0.2500  0.5086
Ga  0.1439  0.7500  0.0172
Ga  0.3425  0.2500  0.6495
Ga  0.6575  0.7500  0.3505
Ga  0.8561  0.2500  0.9828

If you had to bet on the most stable structure above, which would it be? Bet on a.